## Ta3NiH (PBE)

Data for Ta3NiH after structural relaxation.

Output
For the total energy, the calculation gives -90.2 eV per cell. The symmetry is P-1. The value obtained for the density of states at the Fermi level is 0.69 states/eV per atom. Its total magnetization is 0.000 μB/f.u.

Structure (extended XYZ):
```
10
Lattice="-0.6072 1.8548 -2.7738 2.3402 -2.3596 -4.1088 -5.6905 -5.6015 -2.4214" Properties=species:S:1:pos:R:3 pbc="T T T"
Ta -3.5339 -2.3956 -4.0466
Ni 1.0527 -1.6541 -6.5752
Ta -1.7371 -2.2014 -6.3263
Ta -4.8155 -5.2237 -3.5297
H -3.0680 -4.3500 -3.8824
Ta 0.1497 -1.2267 -4.0698
H -1.5958 -2.1039 -3.7149
Ni -3.9841 -5.2988 -7.9071
Ta -2.7547 -4.8660 -5.8155
Ta -1.9092 -1.5843 -1.7840
```

---

## VOsSCl2 (PBE)

Data for VOsSCl2 after structural relaxation.

Output
The uncorrected formation energy is 831.2 meV/atom. The symmetry is P4/mmm. The value obtained for the density of states at the Fermi level is 1.20 states/eV per atom. Its total magnetization is 4.064 μB/f.u.

Structure (extended XYZ):
```
5
Lattice="-2.3353 3.9726 0.0722 -3.1536 -1.9042 2.7694 2.4770 1.3875 3.7747" Properties=species:S:1:pos:R:3 pbc="T T T"
Cl -1.5768 -0.9521 1.3847
V 0.0000 0.0000 0.0000
Os -1.5059 1.7279 3.3081
S 1.2385 0.6937 1.8873
Cl -1.1676 1.9863 0.0361
```

---

## Pm2MnSn (PBE)

Data for Pm2MnSn after structural relaxation.

Output
As for the formation energy: -204 meV/atom. The symmetry is P4/mmm. The value obtained for the density of states at the Fermi level is 1.05 states/eV per atom. Its total magnetization is 2.997 μB/f.u.

Structure (extended XYZ):
```
4
Lattice="4.3709 0.0000 0.0000 0.0000 4.8839 0.0000 0.0000 0.0000 4.8839" Properties=species:S:1:pos:R:3 pbc="T T T"
Pm 0.0000 0.0000 2.4419
Mn 2.1855 2.4419 2.4419
Sn 2.1855 0.0000 0.0000
Pm 0.0000 2.4419 0.0000
```

---

## LiZr3Ag3S8 (PBE)

Data for LiZr3Ag3S8 after structural relaxation.

Output
The uncorrected formation energy is -954.9 meV/atom. The symmetry is C2/m. Its total magnetization is 0.000 μB/f.u.

Structure (extended XYZ):
```
15
Lattice="7.5079 0.0000 0.0000 -3.7539 6.5029 -0.0314 0.0000 -4.3209 6.3518" Properties=species:S:1:pos:R:3 pbc="T T T"
S 3.7539 2.1146 1.7319
Ag 1.8770 3.2514 -0.0157
S 0.0000 2.1682 1.6932
Li 0.0000 -2.1604 3.1759
S 5.5848 -1.0569 1.7464
S 1.9232 -1.0569 1.7464
S 1.8308 3.2388 4.5740
Ag 0.0000 0.0000 0.0000
Zr -1.8770 1.0910 3.1602
S 0.0000 0.0674 4.5885
Zr 3.7539 -2.1604 3.1759
S -1.8308 3.2388 4.5740
Ag -1.8770 3.2514 -0.0157
Zr 1.8770 1.0910 3.1602
S 3.7539 0.0138 4.6273
```

---

## Ba2In2S5 (PBE)

Data for Ba2In2S5 after structural relaxation.

Output
The uncorrected formation energy is -1244.0 meV/atom. The symmetry is Cc. The value obtained for the density of states at the Fermi level is 0.05 states/eV per atom. Its total magnetization is 0.000 μB/f.u.

Structure (extended XYZ):
```
18
Lattice="7.3439 0.0000 -2.0531 -0.5367 6.8458 -1.9197 -0.9218 -0.7391 10.8638" Properties=species:S:1:pos:R:3 pbc="T T T"
Ba 4.4270 0.5241 0.7682
Ba 0.0169 3.9470 0.9662
In 1.8785 1.1018 4.3322
S 4.5854 4.5091 0.2776
In 6.4178 -0.7115 8.8024
S 4.0089 2.0893 3.4392
S 1.7595 5.5122 3.0331
Ba 5.8716 2.0904 5.9454
S 1.2462 2.2505 6.4303
In 4.0441 4.5247 2.6919
S 4.1448 4.3081 7.5972
S 5.6728 5.6734 4.1579
S 1.8519 1.8030 -0.7365
Ba 1.4665 5.5133 6.1420
In 2.4812 2.7114 8.8681
S 1.4383 5.2259 -1.6557
S 4.3363 0.8852 8.5785
S 0.1636 1.0862 2.5486
```

---

## TbNdSeO2 (PBE)

Data for TbNdSeO2 after structural relaxation.

Output
The uncorrected formation energy is -3049.4 meV/atom. The symmetry is P2_1/m. The value obtained for the density of states at the Fermi level is 0.00 states/eV per atom. Its total magnetization is 0.000 μB/f.u.

Structure (extended XYZ):
```
10
Lattice="-1.3280 -3.2159 2.1609 -2.6683 -2.5928 -5.4984 7.2984 -2.6365 0.5616" Properties=species:S:1:pos:R:3 pbc="T T T"
Nd -1.2946 -3.4108 -0.0494
Se 5.0464 -2.9178 0.6998
Nd 4.5967 -5.0343 -2.7265
O 2.8559 -3.6875 -1.7920
O 0.4462 -4.7576 -0.9839
O -0.6897 -2.3927 -2.0439
Tb 0.9233 -3.6541 -2.9299
Tb 2.3788 -4.7910 0.1540
O 3.9918 -6.0525 -0.7319
Se -1.7444 -5.5274 -3.4757
```

---

## Er4Tm3Pb4 (PBE)

Data for Er4Tm3Pb4 after structural relaxation.

Output
As for the formation energy: -307 meV/atom. The symmetry is Immm. The value obtained for the density of states at the Fermi level is 1.04 states/eV per atom. Its total magnetization is 1.217 μB/f.u.

Structure (extended XYZ):
```
11
Lattice="3.5521 0.0000 0.0000 0.0000 9.5377 0.0000 -1.7760 -4.7688 9.4332" Properties=species:S:1:pos:R:3 pbc="T T T"
Pb 1.7760 7.4778 0.0000
Tm 1.7760 4.7688 7.6344
Er 0.0000 -1.7484 6.4260
Pb 1.7760 0.0000 4.3726
Tm 0.0000 4.7688 0.0000
Er 1.7760 3.0204 3.0072
Er 1.7760 6.5172 3.0072
Pb 0.0000 4.7688 5.0606
Er 0.0000 1.7484 6.4260
Pb 1.7760 2.0598 0.0000
Tm 0.0000 0.0000 1.7988
```

---

## NaHf2ZrW (PBE)

Data for NaHf2ZrW after structural relaxation.

Output
As for the formation energy: 2015 meV/atom. The symmetry is P4/mmm. The value obtained for the density of states at the Fermi level is 1.88 states/eV per atom. Its total magnetization is 1.087 μB/f.u.

Structure (extended XYZ):
```
5
Lattice="4.8393 0.0000 0.0000 0.0000 4.7574 0.0000 0.0000 0.0000 4.8393" Properties=species:S:1:pos:R:3 pbc="T T T"
W 2.4197 2.3787 2.4197
Na 0.0000 0.0000 0.0000
Hf 0.0000 0.0000 2.4197
Zr 0.0000 2.3787 0.0000
Hf 2.4197 0.0000 0.0000
```

---

## TbNd6Er2Tm (PBE)

Data for TbNd6Er2Tm after structural relaxation.

Output
As for the formation energy: 116 meV/atom. The symmetry is C2/c. The value obtained for the density of states at the Fermi level is 1.44 states/eV per atom. Its total magnetization is 0.000 μB/f.u.

Structure (extended XYZ):
```
20
Lattice="9.1538 -2.0177 -2.0940 0.8424 8.6706 -2.0256 0.8424 -2.3455 8.5896" Properties=species:S:1:pos:R:3 pbc="T T T"
Nd 8.6353 -0.1762 5.9444
Nd 8.7582 -0.4457 1.9538
Nd 1.2377 -0.8865 6.2067
Nd 6.7802 -2.6484 3.3788
Er 5.4105 4.3620 3.4533
Tb 7.7077 -3.5491 6.7206
Nd 6.6573 1.3295 3.7960
Er 5.4281 -0.0546 1.0168
Nd 5.8146 5.2264 -1.7028
Tm 3.1309 1.6906 3.6908
Nd 2.2033 4.4835 -1.4743
Er 0.8512 2.0270 1.0301
Nd 4.1814 2.9778 0.6740
Nd 2.0804 4.7530 2.5162
Er 9.9874 2.2804 3.4400
Nd 9.6009 5.1938 -1.7366
Tb 3.1309 7.8564 -2.2506
Tm 7.7077 2.6167 0.7792
Nd 4.0584 6.9557 1.0913
Nd 5.0240 -0.9190 6.1728
```

---

## FeHg2Pb (PBE)

Data for FeHg2Pb after structural relaxation.

Output
As for the formation energy: 492 meV/atom. The symmetry is Cmmm. The value obtained for the density of states at the Fermi level is 0.65 states/eV per atom. Its total magnetization is 3.032 μB/f.u.

Structure (extended XYZ):
```
4
Lattice="5.4858 -0.0041 0.0000 -2.3887 4.9384 0.0000 0.0000 0.0000 3.3546" Properties=species:S:1:pos:R:3 pbc="T T T"
Pb 2.7429 -0.0020 1.6773
Fe -1.1944 2.4692 1.6773
Hg 0.0000 0.0000 0.0000
Hg 1.5486 2.4672 0.0000
```

---

## CdSiAs2Br (PBE)

Data for CdSiAs2Br after structural relaxation.

Output
The uncorrected formation energy is 995.3 meV/atom. The symmetry is P4/mmm. The value obtained for the density of states at the Fermi level is 0.79 states/eV per atom. Its total magnetization is 0.928 μB/f.u.

Structure (extended XYZ):
```
5
Lattice="5.1367 0.0000 0.0000 0.0000 5.1367 0.0000 0.0000 0.0000 5.5009" Properties=species:S:1:pos:R:3 pbc="T T T"
Cd 0.0000 0.0000 0.0000
Si 2.5684 2.5684 2.7505
As 0.0000 2.5684 0.0000
Br 0.0000 0.0000 2.7505
As 2.5684 0.0000 0.0000
```

---

## TaCr2Cd (PBE)

Data for TaCr2Cd after structural relaxation.

Output
As for the formation energy: 572 meV/atom. The symmetry is Immm. The value obtained for the density of states at the Fermi level is 1.12 states/eV per atom. Its total magnetization is 0.073 μB/f.u.

Structure (extended XYZ):
```
4
Lattice="5.0661 0.0017 -0.0068 2.0112 4.6497 0.0068 -3.0592 -3.0552 2.6405" Properties=species:S:1:pos:R:3 pbc="T T T"
Cd 1.2453 1.9601 1.3236
Ta 2.7728 -0.3639 1.3169
Cr 6.9892 4.5935 0.0000
Cr 3.6267 2.3836 0.0000
```

---

no.,theoretical density (g/cm³)
1,14.50
2,5.70
3,7.38
4,4.62
5,4.23
6,6.83
7,10.42
8,9.76
9,7.51
10,12.14
11,4.24
12,10.60